(1)
# Ba2LaAg, relaxed, DFT PBE-GGA
# Offset from the most stable computed form: 251 meV/atom
# Formation energy from the elements: 0.790 eV/f.u.
# Density: 5.45 g/cm³
# Spin magnetization: 0.05 Bohr magnetons per cell
# Crystal system: tetragonal
# Total DFT energy (no corrections): -2.71 eV per atom
data_Ba2LaAg
_symmetry_space_group_name_H-M 'P 1'
_symmetry_Int_Tables_number 1
_cell_length_a 5.1059
_cell_length_b 5.1059
_cell_length_c 12.1909
_cell_angle_alpha 90.00
_cell_angle_beta 90.00
_cell_angle_gamma 90.00
loop_
_symmetry_equiv_pos_as_xyz
'x,y,z'
loop_
_atom_site_label
_atom_site_type_symbol
_atom_site_fract_x
_atom_site_fract_y
_atom_site_fract_z
_atom_site_occupancy
Ba1 Ba 0.0000 0.0000 0.0000 1
Ba2 Ba 0.0000 0.5000 0.2500 1
Ba3 Ba 0.5000 0.0000 0.7500 1
Ba4 Ba 0.5000 0.5000 0.5000 1
La1 La 0.0000 0.5000 0.7500 1
La2 La 0.5000 0.0000 0.2500 1
Ag1 Ag 0.0000 0.0000 0.5000 1
Ag2 Ag 0.5000 0.5000 0.0000 1

***

(2)
# BaLa2Ag3, relaxed, DFT PBE-GGA
# Formation energy from the elements: -1.445 eV/f.u.
# Density: 6.80 g/cm³
# Spin magnetization: 0.00 Bohr magnetons per cell
# Crystal system: tetragonal
# Total DFT energy (no corrections): -3.63 eV per atom
data_BaLa2Ag3
_symmetry_space_group_name_H-M 'P 1'
_symmetry_Int_Tables_number 1
_cell_length_a 3.9109
_cell_length_b 3.9109
_cell_length_c 11.8017
_cell_angle_alpha 90.00
_cell_angle_beta 90.00
_cell_angle_gamma 90.00
loop_
_symmetry_equiv_pos_as_xyz
'x,y,z'
loop_
_atom_site_label
_atom_site_type_symbol
_atom_site_fract_x
_atom_site_fract_y
_atom_site_fract_z
_atom_site_occupancy
Ba1 Ba 0.0000 0.0000 0.0000 1
La1 La 0.0000 0.0000 0.3395 1
La2 La 0.0000 0.0000 0.6605 1
Ag1 Ag 0.5000 0.5000 0.1967 1
Ag2 Ag 0.5000 0.5000 0.5000 1
Ag3 Ag 0.5000 0.5000 0.8033 1

***

(3)
# BaLaAg, relaxed, DFT PBE-GGA
# Offset from the most stable computed form: 136 meV/atom
# Formation energy from the elements: 0.155 eV/f.u.
# Density: 5.83 g/cm³
# Spin magnetization: 0.00 Bohr magnetons per cell
# Crystal system: trigonal
# Total DFT energy (no corrections): -3.18 eV per atom
data_BaLaAg
_symmetry_space_group_name_H-M 'P 1'
_symmetry_Int_Tables_number 1
_cell_length_a 5.3073
_cell_length_b 5.3073
_cell_length_c 4.4882
_cell_angle_alpha 90.00
_cell_angle_beta 90.00
_cell_angle_gamma 120.00
loop_
_symmetry_equiv_pos_as_xyz
'x,y,z'
loop_
_atom_site_label
_atom_site_type_symbol
_atom_site_fract_x
_atom_site_fract_y
_atom_site_fract_z
_atom_site_occupancy
Ba1 Ba 0.0000 0.0000 0.0000 1
La1 La 0.6667 0.3333 0.4573 1
Ag1 Ag 0.3333 0.6667 0.5924 1

***

(4)
# Ba3LaAg4, relaxed, DFT PBE-GGA
# Formation energy from the elements: -1.874 eV/f.u.
# Density: 6.16 g/cm³
# Spin magnetization: 0.00 Bohr magnetons per cell
# Crystal system: tetragonal
# Total DFT energy (no corrections): -3.00 eV per atom
data_Ba3LaAg4
_symmetry_space_group_name_H-M 'P 1'
_symmetry_Int_Tables_number 1
_cell_length_a 4.0309
_cell_length_b 4.0309
_cell_length_c 16.2888
_cell_angle_alpha 90.00
_cell_angle_beta 90.00
_cell_angle_gamma 90.00
loop_
_symmetry_equiv_pos_as_xyz
'x,y,z'
loop_
_atom_site_label
_atom_site_type_symbol
_atom_site_fract_x
_atom_site_fract_y
_atom_site_fract_z
_atom_site_occupancy
Ba1 Ba 0.0000 0.0000 0.0000 1
Ba2 Ba 0.0000 0.0000 0.2576 1
Ba3 Ba 0.0000 0.0000 0.7424 1
La1 La 0.0000 0.0000 0.5000 1
Ag1 Ag 0.5000 0.5000 0.1278 1
Ag2 Ag 0.5000 0.5000 0.4009 1
Ag3 Ag 0.5000 0.5000 0.5991 1
Ag4 Ag 0.5000 0.5000 0.8722 1

***

(5)
# BaLa2AgN, relaxed, DFT PBE-GGA
# Density: 6.06 g/cm³
# Spin magnetization: 0.00 Bohr magnetons per cell
# Crystal system: tetragonal
# Total DFT energy (no corrections): -5.07 eV per atom
data_BaLa2AgN
_symmetry_space_group_name_H-M 'P 1'
_symmetry_Int_Tables_number 1
_cell_length_a 5.0047
_cell_length_b 5.0047
_cell_length_c 5.8731
_cell_angle_alpha 90.00
_cell_angle_beta 90.00
_cell_angle_gamma 90.00
loop_
_symmetry_equiv_pos_as_xyz
'x,y,z'
loop_
_atom_site_label
_atom_site_type_symbol
_atom_site_fract_x
_atom_site_fract_y
_atom_site_fract_z
_atom_site_occupancy
Ba1 Ba 0.0000 0.0000 0.0000 1
La1 La 0.0000 0.5000 0.5000 1
La2 La 0.5000 0.0000 0.5000 1
Ag1 Ag 0.5000 0.5000 0.0000 1
N1 N 0.0000 0.0000 0.5000 1

***

(6)
# Ba3LaAg2O6, relaxed, DFT PBE-GGA
# Density: 5.72 g/cm³
# Spin magnetization: 0.74 Bohr magnetons per cell
# Crystal system: trigonal
# Total DFT energy (no corrections): -5.62 eV per atom
data_Ba3LaAg2O6
_symmetry_space_group_name_H-M 'P 1'
_symmetry_Int_Tables_number 1
_cell_length_a 6.4612
_cell_length_b 6.4612
_cell_length_c 6.9271
_cell_angle_alpha 90.00
_cell_angle_beta 90.00
_cell_angle_gamma 120.00
loop_
_symmetry_equiv_pos_as_xyz
'x,y,z'
loop_
_atom_site_label
_atom_site_type_symbol
_atom_site_fract_x
_atom_site_fract_y
_atom_site_fract_z
_atom_site_occupancy
Ba1 Ba 0.0000 0.0000 0.0000 1
Ba2 Ba 0.3333 0.6667 0.6061 1
Ba3 Ba 0.6667 0.3333 0.3939 1
La1 La 0.0000 0.0000 0.5000 1
Ag1 Ag 0.3333 0.6667 0.1293 1
Ag2 Ag 0.6667 0.3333 0.8707 1
O1 O 0.1669 0.3339 0.2988 1
O2 O 0.1669 0.8331 0.2988 1
O3 O 0.3339 0.1669 0.7012 1
O4 O 0.6661 0.8331 0.2988 1
O5 O 0.8331 0.1669 0.7012 1
O6 O 0.8331 0.6661 0.7012 1

***

(7)
# Ba2LaAgO, relaxed, DFT PBE-GGA
# Density: 5.58 g/cm³
# Spin magnetization: 0.00 Bohr magnetons per cell
# Crystal system: tetragonal
# Total DFT energy (no corrections): -4.36 eV per atom
data_Ba2LaAgO
_symmetry_space_group_name_H-M 'P 1'
_symmetry_Int_Tables_number 1
_cell_length_a 5.8358
_cell_length_b 5.8358
_cell_length_c 4.6984
_cell_angle_alpha 90.00
_cell_angle_beta 90.00
_cell_angle_gamma 90.00
loop_
_symmetry_equiv_pos_as_xyz
'x,y,z'
loop_
_atom_site_label
_atom_site_type_symbol
_atom_site_fract_x
_atom_site_fract_y
_atom_site_fract_z
_atom_site_occupancy
Ba1 Ba 0.0000 0.5000 0.0000 1
Ba2 Ba 0.5000 0.0000 0.0000 1
La1 La 0.0000 0.0000 0.5000 1
Ag1 Ag 0.5000 0.5000 0.5000 1
O1 O 0.0000 0.0000 0.0000 1

***

(8)
# BaLaAgPb, relaxed, DFT PBE-GGA
# Formation energy from the elements: -1.567 eV/f.u.
# Density: 7.29 g/cm³
# Spin magnetization: 0.00 Bohr magnetons per cell
# Crystal system: cubic
# Total DFT energy (no corrections): -3.74 eV per atom
data_BaLaAgPb
_symmetry_space_group_name_H-M 'P 1'
_symmetry_Int_Tables_number 1
_cell_length_a 8.1363
_cell_length_b 8.1363
_cell_length_c 8.1363
_cell_angle_alpha 90.00
_cell_angle_beta 90.00
_cell_angle_gamma 90.00
loop_
_symmetry_equiv_pos_as_xyz
'x,y,z'
loop_
_atom_site_label
_atom_site_type_symbol
_atom_site_fract_x
_atom_site_fract_y
_atom_site_fract_z
_atom_site_occupancy
Ba1 Ba 0.0000 0.0000 0.0000 1
Ba2 Ba 0.0000 0.5000 0.5000 1
Ba3 Ba 0.5000 0.0000 0.5000 1
Ba4 Ba 0.5000 0.5000 0.0000 1
La1 La 0.0000 0.0000 0.5000 1
La2 La 0.0000 0.5000 0.0000 1
La3 La 0.5000 0.0000 0.0000 1
La4 La 0.5000 0.5000 0.5000 1
Ag1 Ag 0.2500 0.2500 0.2500 1
Ag2 Ag 0.2500 0.7500 0.7500 1
Ag3 Ag 0.7500 0.2500 0.7500 1
Ag4 Ag 0.7500 0.7500 0.2500 1
Pb1 Pb 0.2500 0.2500 0.7500 1
Pb2 Pb 0.2500 0.7500 0.2500 1
Pb3 Pb 0.7500 0.2500 0.2500 1
Pb4 Pb 0.7500 0.7500 0.7500 1

***

(9)
# BaLaAgPd, relaxed, DFT PBE-GGA
# Formation energy from the elements: -1.366 eV/f.u.
# Density: 7.08 g/cm³
# Spin magnetization: 0.00 Bohr magnetons per cell
# Crystal system: cubic
# Total DFT energy (no corrections): -4.07 eV per atom
data_BaLaAgPd
_symmetry_space_group_name_H-M 'P 1'
_symmetry_Int_Tables_number 1
_cell_length_a 7.7195
_cell_length_b 7.7195
_cell_length_c 7.7195
_cell_angle_alpha 90.00
_cell_angle_beta 90.00
_cell_angle_gamma 90.00
loop_
_symmetry_equiv_pos_as_xyz
'x,y,z'
loop_
_atom_site_label
_atom_site_type_symbol
_atom_site_fract_x
_atom_site_fract_y
_atom_site_fract_z
_atom_site_occupancy
Ba1 Ba 0.0000 0.0000 0.0000 1
Ba2 Ba 0.0000 0.5000 0.5000 1
Ba3 Ba 0.5000 0.0000 0.5000 1
Ba4 Ba 0.5000 0.5000 0.0000 1
La1 La 0.0000 0.0000 0.5000 1
La2 La 0.0000 0.5000 0.0000 1
La3 La 0.5000 0.0000 0.0000 1
La4 La 0.5000 0.5000 0.5000 1
Ag1 Ag 0.2500 0.2500 0.7500 1
Ag2 Ag 0.2500 0.7500 0.2500 1
Ag3 Ag 0.7500 0.2500 0.2500 1
Ag4 Ag 0.7500 0.7500 0.7500 1
Pd1 Pd 0.2500 0.2500 0.2500 1
Pd2 Pd 0.2500 0.7500 0.7500 1
Pd3 Pd 0.7500 0.2500 0.7500 1
Pd4 Pd 0.7500 0.7500 0.2500 1

***

(10)
# RbBaLaAg2, relaxed, DFT PBE-GGA
# Offset from the most stable computed form: 0 meV/atom
# Formation energy from the elements: 3.887 eV/f.u.
# Density: 4.48 g/cm³
# Spin magnetization: 0.40 Bohr magnetons per cell
# Crystal system: tetragonal
# Total DFT energy (no corrections): -1.93 eV per atom
data_RbBaLaAg2
_symmetry_space_group_name_H-M 'P 1'
_symmetry_Int_Tables_number 1
_cell_length_a 5.8659
_cell_length_b 5.8659
_cell_length_c 6.2226
_cell_angle_alpha 90.00
_cell_angle_beta 90.00
_cell_angle_gamma 90.00
loop_
_symmetry_equiv_pos_as_xyz
'x,y,z'
loop_
_atom_site_label
_atom_site_type_symbol
_atom_site_fract_x
_atom_site_fract_y
_atom_site_fract_z
_atom_site_occupancy
Rb1 Rb 0.0000 0.0000 0.0000 1
Ba1 Ba 0.0000 0.0000 0.5000 1
La1 La 0.5000 0.5000 0.0000 1
Ag1 Ag 0.0000 0.5000 0.5000 1
Ag2 Ag 0.5000 0.0000 0.5000 1

***

(11)
# RbBaLaAg2, relaxed, DFT PBE-GGA
# Offset from the most stable computed form: 26 meV/atom
# Formation energy from the elements: 4.016 eV/f.u.
# Density: 4.95 g/cm³
# Spin magnetization: 0.13 Bohr magnetons per cell
# Crystal system: tetragonal
# Total DFT energy (no corrections): -1.90 eV per atom
data_RbBaLaAg2
_symmetry_space_group_name_H-M 'P 1'
_symmetry_Int_Tables_number 1
_cell_length_a 5.6677
_cell_length_b 5.6677
_cell_length_c 6.0296
_cell_angle_alpha 90.00
_cell_angle_beta 90.00
_cell_angle_gamma 90.00
loop_
_symmetry_equiv_pos_as_xyz
'x,y,z'
loop_
_atom_site_label
_atom_site_type_symbol
_atom_site_fract_x
_atom_site_fract_y
_atom_site_fract_z
_atom_site_occupancy
Rb1 Rb 0.0000 0.0000 0.0000 1
Ba1 Ba 0.0000 0.0000 0.5000 1
La1 La 0.5000 0.5000 0.5000 1
Ag1 Ag 0.0000 0.5000 0.0000 1
Ag2 Ag 0.5000 0.0000 0.0000 1

***

(12)
# Ba2LaAgRh, relaxed, DFT PBE-GGA
# Formation energy from the elements: -0.687 eV/f.u.
# Density: 5.11 g/cm³
# Spin magnetization: 0.00 Bohr magnetons per cell
# Crystal system: tetragonal
# Total DFT energy (no corrections): -3.93 eV per atom
data_Ba2LaAgRh
_symmetry_space_group_name_H-M 'P 1'
_symmetry_Int_Tables_number 1
_cell_length_a 6.1733
_cell_length_b 6.1733
_cell_length_c 5.3253
_cell_angle_alpha 90.00
_cell_angle_beta 90.00
_cell_angle_gamma 90.00
loop_
_symmetry_equiv_pos_as_xyz
'x,y,z'
loop_
_atom_site_label
_atom_site_type_symbol
_atom_site_fract_x
_atom_site_fract_y
_atom_site_fract_z
_atom_site_occupancy
Ba1 Ba 0.0000 0.5000 0.0000 1
Ba2 Ba 0.5000 0.0000 0.0000 1
La1 La 0.0000 0.0000 0.5000 1
Ag1 Ag 0.5000 0.5000 0.5000 1
Rh1 Rh 0.0000 0.0000 0.0000 1

***

What did the eighth record say?
# BaLaAgPb, relaxed, DFT PBE-GGA
# Formation energy from the elements: -1.567 eV/f.u.
# Density: 7.29 g/cm³
# Spin magnetization: 0.00 Bohr magnetons per cell
# Crystal system: cubic
# Total DFT energy (no corrections): -3.74 eV per atom
data_BaLaAgPb
_symmetry_space_group_name_H-M 'P 1'
_symmetry_Int_Tables_number 1
_cell_length_a 8.1363
_cell_length_b 8.1363
_cell_length_c 8.1363
_cell_angle_alpha 90.00
_cell_angle_beta 90.00
_cell_angle_gamma 90.00
loop_
_symmetry_equiv_pos_as_xyz
'x,y,z'
loop_
_atom_site_label
_atom_site_type_symbol
_atom_site_fract_x
_atom_site_fract_y
_atom_site_fract_z
_atom_site_occupancy
Ba1 Ba 0.0000 0.0000 0.0000 1
Ba2 Ba 0.0000 0.5000 0.5000 1
Ba3 Ba 0.5000 0.0000 0.5000 1
Ba4 Ba 0.5000 0.5000 0.0000 1
La1 La 0.0000 0.0000 0.5000 1
La2 La 0.0000 0.5000 0.0000 1
La3 La 0.5000 0.0000 0.0000 1
La4 La 0.5000 0.5000 0.5000 1
Ag1 Ag 0.2500 0.2500 0.2500 1
Ag2 Ag 0.2500 0.7500 0.7500 1
Ag3 Ag 0.7500 0.2500 0.7500 1
Ag4 Ag 0.7500 0.7500 0.2500 1
Pb1 Pb 0.2500 0.2500 0.7500 1
Pb2 Pb 0.2500 0.7500 0.2500 1
Pb3 Pb 0.7500 0.2500 0.2500 1
Pb4 Pb 0.7500 0.7500 0.7500 1

***

Copy entry 9 word for word.
# BaLaAgPd, relaxed, DFT PBE-GGA
# Formation energy from the elements: -1.366 eV/f.u.
# Density: 7.08 g/cm³
# Spin magnetization: 0.00 Bohr magnetons per cell
# Crystal system: cubic
# Total DFT energy (no corrections): -4.07 eV per atom
data_BaLaAgPd
_symmetry_space_group_name_H-M 'P 1'
_symmetry_Int_Tables_number 1
_cell_length_a 7.7195
_cell_length_b 7.7195
_cell_length_c 7.7195
_cell_angle_alpha 90.00
_cell_angle_beta 90.00
_cell_angle_gamma 90.00
loop_
_symmetry_equiv_pos_as_xyz
'x,y,z'
loop_
_atom_site_label
_atom_site_type_symbol
_atom_site_fract_x
_atom_site_fract_y
_atom_site_fract_z
_atom_site_occupancy
Ba1 Ba 0.0000 0.0000 0.0000 1
Ba2 Ba 0.0000 0.5000 0.5000 1
Ba3 Ba 0.5000 0.0000 0.5000 1
Ba4 Ba 0.5000 0.5000 0.0000 1
La1 La 0.0000 0.0000 0.5000 1
La2 La 0.0000 0.5000 0.0000 1
La3 La 0.5000 0.0000 0.0000 1
La4 La 0.5000 0.5000 0.5000 1
Ag1 Ag 0.2500 0.2500 0.7500 1
Ag2 Ag 0.2500 0.7500 0.2500 1
Ag3 Ag 0.7500 0.2500 0.2500 1
Ag4 Ag 0.7500 0.7500 0.7500 1
Pd1 Pd 0.2500 0.2500 0.2500 1
Pd2 Pd 0.2500 0.7500 0.7500 1
Pd3 Pd 0.7500 0.2500 0.7500 1
Pd4 Pd 0.7500 0.7500 0.2500 1

***

Please write out number 12 again, unchanged.
# Ba2LaAgRh, relaxed, DFT PBE-GGA
# Formation energy from the elements: -0.687 eV/f.u.
# Density: 5.11 g/cm³
# Spin magnetization: 0.00 Bohr magnetons per cell
# Crystal system: tetragonal
# Total DFT energy (no corrections): -3.93 eV per atom
data_Ba2LaAgRh
_symmetry_space_group_name_H-M 'P 1'
_symmetry_Int_Tables_number 1
_cell_length_a 6.1733
_cell_length_b 6.1733
_cell_length_c 5.3253
_cell_angle_alpha 90.00
_cell_angle_beta 90.00
_cell_angle_gamma 90.00
loop_
_symmetry_equiv_pos_as_xyz
'x,y,z'
loop_
_atom_site_label
_atom_site_type_symbol
_atom_site_fract_x
_atom_site_fract_y
_atom_site_fract_z
_atom_site_occupancy
Ba1 Ba 0.0000 0.5000 0.0000 1
Ba2 Ba 0.5000 0.0000 0.0000 1
La1 La 0.0000 0.0000 0.5000 1
Ag1 Ag 0.5000 0.5000 0.5000 1
Rh1 Rh 0.0000 0.0000 0.0000 1

***

- Which formula does entry 12 have?
  Ba2LaAgRh